DFT (PBE) results for crystalline LaSmScZn at its relaxed geometry.

```
data_LaSmScZn
_cell_length_a 7.5834
_cell_length_b 7.5834
_cell_length_c 7.5834
_cell_angle_alpha 90.00
_cell_angle_beta 90.00
_cell_angle_gamma 90.00
_space_group_name_H-M_alt 'F -4 3 m'
_space_group_IT_number 216
_space_group_name_Hall 'F -4 2 3'
loop_
_atom_site_label
_atom_site_type_symbol
_atom_site_fract_x
_atom_site_fract_y
_atom_site_fract_z
_atom_site_occupancy
La1 La 0.0000 0.0000 0.0000 1
Sm1 Sm 0.0000 0.0000 0.5000 1
Sc1 Sc 0.2500 0.2500 0.7500 1
Zn1 Zn 0.2500 0.2500 0.2500 1
```

Output
**E_form**: -0.017 eV per atom
**N(E_F)**: 1.1762 states/eV per atom

---

DFT (PBE) results for crystalline BaY2Os at its relaxed geometry.

```
data_BaY2Os
_cell_length_a 7.4718
_cell_length_b 7.4718
_cell_length_c 7.4718
_cell_angle_alpha 90.00
_cell_angle_beta 90.00
_cell_angle_gamma 90.00
_space_group_name_H-M_alt 'F m -3 m'
_space_group_IT_number 225
_space_group_name_Hall '-F 4 2 3'
loop_
_atom_site_label
_atom_site_type_symbol
_atom_site_fract_x
_atom_site_fract_y
_atom_site_fract_z
_atom_site_occupancy
Ba1 Ba 0.0000 0.0000 0.0000 1
Y1 Y 0.2500 0.2500 0.2500 1
Os1 Os 0.0000 0.0000 0.5000 1
```

Output
**E_form**: 0.407 eV per atom
**N(E_F)**: 0.9165 states/eV per atom

---

DFT (PBE) results for crystalline ZnC5 at its relaxed geometry.

```
data_ZnC5
_cell_length_a 6.6344
_cell_length_b 2.5097
_cell_length_c 7.5273
_cell_angle_alpha 90.00
_cell_angle_beta 90.00
_cell_angle_gamma 90.00
_space_group_name_H-M_alt 'A m m 2'
_space_group_IT_number 38
loop_
_space_group_symop_operation_xyz
'x,y,z'
'-x,-y,z'
'-x,y,z'
'x,-y,z'
'x,y+1/2,z+1/2'
'-x,-y+1/2,z+1/2'
'-x,y+1/2,z+1/2'
'x,-y+1/2,z+1/2'
loop_
_atom_site_label
_atom_site_type_symbol
_atom_site_fract_x
_atom_site_fract_y
_atom_site_fract_z
_atom_site_occupancy
Zn1 Zn 0.0000 0.0000 0.0000 1
C1 C 0.0000 0.0000 0.2883 1
C2 C 0.0000 0.0000 0.7117 1
C3 C 0.5000 0.0000 0.3038 1
C4 C 0.5000 0.0000 0.4980 1
C5 C 0.5000 0.0000 0.6922 1
```

Output
**E_form**: 1.165 eV per atom
**N(E_F)**: 0.2985 states/eV per atom

---

DFT (PBE) results for crystalline Tl3SbAs2 at its relaxed geometry.

```
data_Tl3SbAs2
_cell_length_a 4.8994
_cell_length_b 8.8976
_cell_length_c 9.6754
_cell_angle_alpha 107.59
_cell_angle_beta 90.24
_cell_angle_gamma 105.96
_space_group_name_H-M_alt 'P -1'
_space_group_IT_number 2
loop_
_space_group_symop_operation_xyz
'x,y,z'
'-x,-y,-z'
loop_
_atom_site_label
_atom_site_type_symbol
_atom_site_fract_x
_atom_site_fract_y
_atom_site_fract_z
_atom_site_occupancy
Tl1 Tl 0.0567 0.1159 0.1875 1
Tl2 Tl 0.1994 0.3991 0.5747 1
Tl3 Tl 0.3228 0.6491 0.9303 1
Sb1 Sb 0.4240 0.8492 0.3106 1
As1 As 0.1281 0.2541 0.8410 1
As2 As 0.4046 0.8076 0.5911 1
```

Output
**N(E_F)**: 0.2058 states/eV per atom

---

DFT (PBE) results for crystalline TbDy2Se4 at its relaxed geometry.

```
data_TbDy2Se4
_cell_length_a 15.1481
_cell_length_b 4.1016
_cell_length_c 7.1484
_cell_angle_alpha 90.00
_cell_angle_beta 116.63
_cell_angle_gamma 90.00
_space_group_name_H-M_alt 'C 1 2/m 1'
_space_group_IT_number 12
loop_
_space_group_symop_operation_xyz
'x,y,z'
'-x,-y,-z'
'-x,y,-z'
'x,-y,z'
'x+1/2,y+1/2,z'
'-x+1/2,-y+1/2,-z'
'-x+1/2,y+1/2,-z'
'x+1/2,-y+1/2,z'
loop_
_atom_site_label
_atom_site_type_symbol
_atom_site_fract_x
_atom_site_fract_y
_atom_site_fract_z
_atom_site_occupancy
Tb1 Tb 0.0000 0.0000 0.0000 1
Dy1 Dy 0.2343 0.5000 0.7246 1
Se1 Se 0.1238 0.0000 0.4444 1
Se2 Se 0.1354 0.5000 0.9901 1
```

Output
**N(E_F)**: 0.3986 states/eV per atom

---

DFT (PBE) results for crystalline K2BaTeS4 at its relaxed geometry.

```
data_K2BaTeS4
_cell_length_a 8.3962
_cell_length_b 9.0789
_cell_length_c 12.4285
_cell_angle_alpha 90.00
_cell_angle_beta 90.00
_cell_angle_gamma 90.00
_space_group_name_H-M_alt 'I m m a'
_space_group_IT_number 74
_space_group_name_Hall '-I 2b 2'
loop_
_atom_site_label
_atom_site_type_symbol
_atom_site_fract_x
_atom_site_fract_y
_atom_site_fract_z
_atom_site_occupancy
K1 K 0.0000 0.0000 0.0000 1
K2 K 0.2500 0.2500 0.2500 1
Ba1 Ba 0.0000 0.0000 0.5000 1
Te1 Te 0.2500 0.2500 0.7500 1
S1 S 0.0000 0.0456 0.7507 1
S2 S 0.2479 0.2500 0.5331 1
```

---

DFT (PBE) results for crystalline Zn2InCo at its relaxed geometry.

```
data_Zn2InCo
_cell_length_a 2.9892
_cell_length_b 4.1817
_cell_length_c 4.9677
_cell_angle_alpha 90.00
_cell_angle_beta 90.00
_cell_angle_gamma 90.00
_space_group_name_H-M_alt 'P m m 2'
_space_group_IT_number 25
loop_
_space_group_symop_operation_xyz
'x,y,z'
'-x,-y,z'
'-x,y,z'
'x,-y,z'
loop_
_atom_site_label
_atom_site_type_symbol
_atom_site_fract_x
_atom_site_fract_y
_atom_site_fract_z
_atom_site_occupancy
Zn1 Zn 0.0000 0.0000 0.0000 1
Zn2 Zn 0.5000 0.5000 0.1221 1
In1 In 0.5000 0.0000 0.5173 1
Co1 Co 0.0000 0.5000 0.6949 1
```

Output
**E_form**: 0.119 eV per atom
**N(E_F)**: 0.7380 states/eV per atom

---

DFT (PBE) results for crystalline CsInHgTe at its relaxed geometry.

```
data_CsInHgTe
_cell_length_a 8.5482
_cell_length_b 8.5482
_cell_length_c 8.5482
_cell_angle_alpha 90.00
_cell_angle_beta 90.00
_cell_angle_gamma 90.00
_space_group_name_H-M_alt 'F -4 3 m'
_space_group_IT_number 216
_space_group_name_Hall 'F -4 2 3'
loop_
_atom_site_label
_atom_site_type_symbol
_atom_site_fract_x
_atom_site_fract_y
_atom_site_fract_z
_atom_site_occupancy
Cs1 Cs 0.0000 0.0000 0.0000 1
In1 In 0.0000 0.0000 0.5000 1
Hg1 Hg 0.2500 0.2500 0.7500 1
Te1 Te 0.2500 0.2500 0.2500 1
```

---

DFT (PBE) results for crystalline NbIn2Br2Cl4 at its relaxed geometry.

```
data_NbIn2Br2Cl4
_cell_length_a 12.8913
_cell_length_b 7.0860
_cell_length_c 7.3401
_cell_angle_alpha 90.00
_cell_angle_beta 123.38
_cell_angle_gamma 90.00
_space_group_name_H-M_alt 'C 1 2/m 1'
_space_group_IT_number 12
loop_
_space_group_symop_operation_xyz
'x,y,z'
'-x,-y,-z'
'-x,y,-z'
'x,-y,z'
'x+1/2,y+1/2,z'
'-x+1/2,-y+1/2,-z'
'-x+1/2,y+1/2,-z'
'x+1/2,-y+1/2,z'
loop_
_atom_site_label
_atom_site_type_symbol
_atom_site_fract_x
_atom_site_fract_y
_atom_site_fract_z
_atom_site_occupancy
Nb1 Nb 0.0000 0.0000 0.0000 1
In1 In 0.2479 0.0000 0.7816 1
Br1 Br 0.2350 0.0000 0.3139 1
Cl1 Cl 0.0424 0.2410 0.8136 1
```

Output
**N(E_F)**: 0.6476 states/eV per atom

---

DFT (PBE) results for crystalline NdU4Ga15 at its relaxed geometry.

```
data_NdU4Ga15
_cell_length_a 4.2760
_cell_length_b 4.2760
_cell_length_c 21.5143
_cell_angle_alpha 90.00
_cell_angle_beta 90.00
_cell_angle_gamma 90.00
_space_group_name_H-M_alt 'P 4/m m m'
_space_group_IT_number 123
_space_group_name_Hall '-P 4 2'
loop_
_atom_site_label
_atom_site_type_symbol
_atom_site_fract_x
_atom_site_fract_y
_atom_site_fract_z
_atom_site_occupancy
Nd1 Nd 0.0000 0.0000 0.0000 1
U1 U 0.0000 0.0000 0.2027 1
U2 U 0.0000 0.0000 0.4005 1
Ga1 Ga 0.0000 0.5000 0.1041 1
Ga2 Ga 0.0000 0.5000 0.3017 1
Ga3 Ga 0.0000 0.5000 0.5000 1
Ga4 Ga 0.5000 0.5000 0.0000 1
Ga5 Ga 0.5000 0.5000 0.2024 1
Ga6 Ga 0.5000 0.5000 0.4007 1
```

Output
**E_form**: -0.287 eV per atom
**N(E_F)**: 1.1620 states/eV per atom

---

DFT (PBE) results for crystalline La3Lu at its relaxed geometry.

```
data_La3Lu
_cell_length_a 3.7085
_cell_length_b 5.9405
_cell_length_c 6.3567
_cell_angle_alpha 90.00
_cell_angle_beta 90.00
_cell_angle_gamma 90.00
_space_group_name_H-M_alt 'P m m 2'
_space_group_IT_number 25
loop_
_space_group_symop_operation_xyz
'x,y,z'
'-x,-y,z'
'-x,y,z'
'x,-y,z'
loop_
_atom_site_label
_atom_site_type_symbol
_atom_site_fract_x
_atom_site_fract_y
_atom_site_fract_z
_atom_site_occupancy
La1 La 0.0000 0.0000 0.0000 1
La2 La 0.0000 0.5000 0.3385 1
La3 La 0.5000 0.5000 0.8375 1
Lu1 Lu 0.5000 0.0000 0.5052 1
```

Output
**E_form**: 0.035 eV per atom
**N(E_F)**: 1.5576 states/eV per atom

---

DFT (PBE) results for crystalline Er3PaTe6 at its relaxed geometry.

```
data_Er3PaTe6
_cell_length_a 12.3666
_cell_length_b 4.2851
_cell_length_c 12.7224
_cell_angle_alpha 90.00
_cell_angle_beta 108.52
_cell_angle_gamma 90.00
_space_group_name_H-M_alt 'P 1 21/m 1'
_space_group_IT_number 11
loop_
_space_group_symop_operation_xyz
'x,y,z'
'-x,-y,-z'
'-x,y+1/2,-z'
'x,-y+1/2,z'
loop_
_atom_site_label
_atom_site_type_symbol
_atom_site_fract_x
_atom_site_fract_y
_atom_site_fract_z
_atom_site_occupancy
Er1 Er 0.0716 0.2500 0.1623 1
Er2 Er 0.1799 0.7500 0.5027 1
Er3 Er 0.3475 0.2500 0.9222 1
Pa1 Pa 0.4535 0.2500 0.3009 1
Te1 Te 0.0165 0.2500 0.3793 1
Te2 Te 0.1070 0.2500 0.9340 1
Te3 Te 0.2476 0.7500 0.2809 1
Te4 Te 0.3063 0.7500 0.7490 1
Te5 Te 0.3861 0.2500 0.5334 1
Te6 Te 0.4139 0.7500 0.1003 1
```

Output
**N(E_F)**: 0.6248 states/eV per atom

---

| no. | total DFT energy (no corrections) (eV/cell) |
| --- | --- |
| 1 | -69.28 |
| 2 | -97.82 |
| 3 | -80.80 |
| 4 | -40.51 |
| 5 | -81.18 |
| 6 | -125.72 |
| 7 | -11.92 |
| 8 | -34.03 |
| 9 | -70.05 |
| 10 | -101.07 |
| 11 | -19.16 |
| 12 | -107.99 |